No. 1
CdPbS2O6: optimized geometry, GGA-PBE.

a b c (Å): 6.7729 6.7729 6.7729
angles (deg): 46.79 46.79 46.79
Positions (direct):
Cd 0.0000 0.0000 0.0000
Pb 0.5000 0.5000 0.5000
S 0.2854 0.2854 0.2854
S 0.7146 0.7146 0.7146
O 0.0175 0.5379 0.1963
O 0.1963 0.0175 0.5379
O 0.4621 0.8037 0.9825
O 0.5379 0.1963 0.0175
O 0.8037 0.9825 0.4621
O 0.9825 0.4621 0.8037

Space group: R-3
Density in g cm⁻³: 5.282
E_form (uncorrected) in eV/atom: -1.23
Crystal system: trigonal

No. 2
LiAl2Ga: optimized geometry, GGA-PBE.

a b c (Å): 4.1846 4.1846 5.2431
angles (deg): 90.00 90.00 120.00
Positions (direct):
Li 0.0000 0.0000 0.0000
Al 0.0000 0.0000 0.5054
Al 0.3333 0.6667 0.2609
Ga 0.3333 0.6667 0.7471

Space group: P3m1
Energy in eV/atom: -3.0796
Density in g cm⁻³: 2.728
Crystal system: trigonal

No. 3
CaAc4Au2: optimized geometry, GGA-PBE.

a b c (Å): 9.9901 9.9901 8.2382
angles (deg): 109.00 109.00 117.50
Positions (direct):
Ca 0.0000 0.0000 0.0000
Ca 0.7500 0.2500 0.5000
Ac 0.0454 0.4111 0.2736
Ac 0.1372 0.7713 0.7256
Ac 0.1613 0.2953 0.7738
Ac 0.2287 0.8628 0.2744
Ac 0.5213 0.3877 0.2262
Ac 0.5889 0.9546 0.7264
Ac 0.6123 0.4787 0.7738
Ac 0.7047 0.8387 0.2262
Au 0.3746 0.6250 0.2492
Au 0.3750 0.6254 0.7508
Au 0.3756 0.1252 0.7504
Au 0.8748 0.6244 0.2496

Space group: C2
Energy in eV/atom: -3.7920
Density in g cm⁻³: 7.851
Crystal system: monoclinic

No. 4
Pr4InTe2Se: optimized geometry, GGA-PBE.

a b c (Å): 7.7488 4.4362 7.8312
angles (deg): 90.00 108.96 90.00
Positions (direct):
Pr 0.2403 0.0000 0.2322
Pr 0.2483 0.5000 0.7584
Pr 0.7517 0.5000 0.2416
Pr 0.7597 0.0000 0.7678
In 0.5000 0.0000 0.0000
Te 0.0000 0.0000 0.5000
Te 0.5000 0.5000 0.5000
Se 0.0000 0.5000 0.0000

Space group: P2/m
Density in g cm⁻³: 6.604
E_form (uncorrected) in eV/atom: -1.29
Crystal system: monoclinic

No. 5
TmScNb: optimized geometry, GGA-PBE.

a b c (Å): 3.1186 3.1186 14.5545
angles (deg): 90.00 90.00 90.00
Positions (direct):
Tm 0.0000 0.0000 0.0000
Tm 0.5000 0.5000 0.5000
Sc 0.0000 0.0000 0.3021
Sc 0.5000 0.5000 0.8021
Nb 0.0000 0.0000 0.6577
Nb 0.5000 0.5000 0.1577

Space group: I4mm
Energy in eV/atom: -6.7833
Density in g cm⁻³: 7.198
Crystal system: tetragonal

No. 6
Lu2ZrCd: optimized geometry, GGA-PBE.

a b c (Å): 7.3998 7.3998 7.3998
angles (deg): 90.00 90.00 90.00
Positions (direct):
Lu 0.2500 0.2500 0.2500
Lu 0.2500 0.2500 0.7500
Lu 0.2500 0.7500 0.2500
Lu 0.2500 0.7500 0.7500
Lu 0.7500 0.2500 0.2500
Lu 0.7500 0.2500 0.7500
Lu 0.7500 0.7500 0.2500
Lu 0.7500 0.7500 0.7500
Zr 0.0000 0.0000 0.0000
Zr 0.0000 0.5000 0.5000
Zr 0.5000 0.0000 0.5000
Zr 0.5000 0.5000 0.0000
Cd 0.0000 0.0000 0.5000
Cd 0.0000 0.5000 0.0000
Cd 0.5000 0.0000 0.0000
Cd 0.5000 0.5000 0.5000

Space group: Fm-3m
Energy in eV/atom: -4.5739
Density in g cm⁻³: 9.075
Crystal system: cubic

No. 7
ThZrNi2: optimized geometry, GGA-PBE.

a b c (Å): 6.7350 6.7350 6.7350
angles (deg): 90.00 90.00 90.00
Positions (direct):
Th 0.0000 0.0000 0.0000
Th 0.0000 0.5000 0.5000
Th 0.5000 0.0000 0.5000
Th 0.5000 0.5000 0.0000
Zr 0.0000 0.0000 0.5000
Zr 0.0000 0.5000 0.0000
Zr 0.5000 0.0000 0.0000
Zr 0.5000 0.5000 0.5000
Ni 0.2500 0.2500 0.2500
Ni 0.2500 0.2500 0.7500
Ni 0.2500 0.7500 0.2500
Ni 0.2500 0.7500 0.7500
Ni 0.7500 0.2500 0.2500
Ni 0.7500 0.2500 0.7500
Ni 0.7500 0.7500 0.2500
Ni 0.7500 0.7500 0.7500

Space group: Fm-3m
Energy in eV/atom: -7.1139
Density in g cm⁻³: 9.581
Crystal system: cubic

No. 8
Na2MgSn8: optimized geometry, GGA-PBE.

a b c (Å): 4.7034 4.7034 13.4591
angles (deg): 90.00 90.00 90.00
Positions (direct):
Na 0.0000 0.0000 0.1791
Na 0.0000 0.0000 0.8209
Mg 0.0000 0.0000 0.5000
Sn 0.0000 0.5000 0.0000
Sn 0.0000 0.5000 0.3584
Sn 0.0000 0.5000 0.6416
Sn 0.5000 0.0000 0.0000
Sn 0.5000 0.0000 0.3584
Sn 0.5000 0.0000 0.6416
Sn 0.5000 0.5000 0.1815
Sn 0.5000 0.5000 0.8185

Space group: P4/mmm
Energy in eV/atom: -3.3774
Density in g cm⁻³: 5.688
Crystal system: tetragonal

No. 9
EuTlZn: optimized geometry, GGA-PBE.

a b c (Å): 4.8997 4.8997 3.8048
angles (deg): 90.00 90.00 120.00
Positions (direct):
Eu 0.0000 0.0000 0.0000
Tl 0.3333 0.6667 0.5000
Zn 0.6667 0.3333 0.5000

Space group: P-6m2
Energy in eV/atom: -4.9398
Density in g cm⁻³: 8.853
Crystal system: hexagonal

No. 10
NaSr3Ir: optimized geometry, GGA-PBE.

a b c (Å): 4.2593 9.1851 9.7789
angles (deg): 79.24 89.89 89.96
Positions (direct):
Na 0.2466 0.3365 0.0138
Na 0.7534 0.6635 0.9862
Sr 0.2497 0.8409 0.5954
Sr 0.2510 0.5302 0.3446
Sr 0.2517 0.9103 0.1930
Sr 0.7483 0.0897 0.8070
Sr 0.7490 0.4698 0.6554
Sr 0.7503 0.1591 0.4046
Ir 0.2492 0.2354 0.6000
Ir 0.7508 0.7646 0.4000

Space group: P-1
Energy in eV/atom: -3.1673
Density in g cm⁻³: 4.224
Crystal system: triclinic

No. 11
Pm2Nd4In: optimized geometry, GGA-PBE.

a b c (Å): 20.2257 20.2257 20.2257
angles (deg): 10.51 10.51 10.51
Positions (direct):
Pm 0.1911 0.1911 0.1911
Pm 0.8089 0.8089 0.8089
Nd 0.0927 0.0927 0.0927
Nd 0.2908 0.2908 0.2908
Nd 0.7092 0.7092 0.7092
Nd 0.9073 0.9073 0.9073
In 0.0000 0.0000 0.0000

Space group: R-3m
Energy in eV/atom: -4.5340
Density in g cm⁻³: 6.825
Crystal system: trigonal

No. 12
Li2MnRu: optimized geometry, GGA-PBE.

a b c (Å): 2.6377 2.6377 27.8526
angles (deg): 90.00 90.00 120.00
Positions (direct):
Li 0.0000 0.0000 0.2473
Li 0.0000 0.0000 0.7527
Li 0.3333 0.6667 0.4194
Li 0.3333 0.6667 0.9139
Li 0.6667 0.3333 0.0861
Li 0.6667 0.3333 0.5806
Mn 0.0000 0.0000 0.0000
Mn 0.3333 0.6667 0.6667
Mn 0.6667 0.3333 0.3333
Ru 0.0000 0.0000 0.5000
Ru 0.3333 0.6667 0.1667
Ru 0.6667 0.3333 0.8333

Space group: R-3m
Energy in eV/atom: -5.2884
Density in g cm⁻³: 5.043
Crystal system: trigonal